Material: KMgAg2Br
Method: DFT, PBE
State: optimized geometry

```
5
Lattice="5.857 0.000 0.000 0.000 5.857 0.000 0.000 0.000 5.765" Properties=species:S:1:pos:R:3 pbc="T T T"
K 0.000 0.000 0.000
Mg 2.929 2.929 2.883
Ag 0.000 2.929 0.000
Ag 2.929 0.000 0.000
Br 0.000 0.000 2.883
```

Energy relative to the elements, uncorrected (eV/atom): 0.50
Energy (eV per atom): -1.51
Symmetry: P4/mmm, No. 123